VASP calculation (PBE) on a relaxed Ca3AlPt2 crystal.

Formation energy from the elements (eV/atom): -0.7584
Magnetic moment (μB/atom): 0.00
E (eV per atom): -4.40

Cell lengths 4.0655, 4.6479, 8.1412 Å; angles 106.60, 104.39, 90.04 degrees
Atoms (fractional coordinates):
Ca 0.8171 0.3176 0.6343
Ca 0.1829 0.6824 0.3657
Ca 0.5000 0.5000 0.0000
Pt 0.3861 0.8857 0.7718
Pt 0.6139 0.1143 0.2282
Al 0.0000 0.0000 0.0000